Ba2MnTlO6 (PBE+U, relaxed); total magnetization = 4.2 μB per formula unit; electronic total energy = -5.941 eV/atom; space-group type = P4/mmm (123)
1.0
4.188 0.000 0.000
0.000 4.188 0.000
0.000 0.000 8.557
Tl O Ba Mn
1 6 2 1
Cartesian
2.094 2.094 0.000 Tl
2.094 2.094 2.388 O
2.094 2.094 6.169 O
0.000 2.094 4.279 O
0.000 2.094 0.000 O
2.094 0.000 0.000 O
2.094 0.000 4.279 O
0.000 0.000 6.308 Ba
0.000 0.000 2.249 Ba
2.094 2.094 4.279 Mn